[1]
{"formula": "Nd5UN6", "functional": "PBE", "state": "optimized geometry", "lattice": [[3.108, -5.377, 0.000], [3.108, 5.377, 0.000], [-2.071, 0.000, 5.849]], "species": ["Nd", "Nd", "Nd", "Nd", "Nd", "U", "N", "N", "N", "N", "N", "N"], "frac_coords": [[0.000, 0.000, 0.000], [0.166, 0.834, 0.500], [0.334, 0.666, 0.000], [0.666, 0.334, 0.000], [0.834, 0.166, 0.500], [0.500, 0.500, 0.500], [0.125, 0.424, 0.272], [0.276, 0.276, 0.732], [0.424, 0.125, 0.272], [0.576, 0.875, 0.728], [0.724, 0.724, 0.268], [0.875, 0.576, 0.728]], "magmom_total_mub_per_cell": 0.0, "final_energy_ev_per_atom": -8.52, "spacegroup": "C2/m, No. 12"}

***

[2]
{"formula": "Nd2WN3", "functional": "PBE", "state": "optimized geometry", "lattice": [[-1.757, 1.990, 6.427], [1.757, -1.990, 6.427], [1.757, 1.990, -6.427]], "species": ["Nd", "Nd", "W", "N", "N", "N"], "frac_coords": [[0.148, 0.148, 0.000], [0.852, 0.852, 0.000], [0.500, 0.500, 0.000], [0.000, 0.500, 0.500], [0.342, 0.342, 0.000], [0.658, 0.658, 0.000]], "magmom_total_mub_per_cell": 0.0, "final_energy_ev_per_atom": -9.01, "spacegroup": "Immm, No. 71"}

***

[3]
{"formula": "Nd2WN2", "functional": "PBE", "state": "optimized geometry", "lattice": [[1.552, -5.180, 0.000], [1.552, 5.180, 0.000], [0.000, 0.000, 10.108]], "species": ["Nd", "Nd", "Nd", "Nd", "W", "W", "N", "N", "N", "N"], "frac_coords": [[0.128, 0.872, 0.582], [0.128, 0.872, 0.918], [0.872, 0.128, 0.082], [0.872, 0.128, 0.418], [0.150, 0.850, 0.250], [0.850, 0.150, 0.750], [0.389, 0.611, 0.612], [0.389, 0.611, 0.888], [0.611, 0.389, 0.112], [0.611, 0.389, 0.388]], "magmom_total_mub_per_cell": 0.0, "final_energy_ev_per_atom": -8.31, "spacegroup": "Cmcm, No. 63"}

***

[4]
{"formula": "Nd2YN3", "functional": "PBE", "state": "optimized geometry", "lattice": [[3.578, 0.000, 0.000], [-1.789, 3.098, 0.000], [0.000, 0.000, 8.768]], "species": ["Nd", "Nd", "Y", "N", "N", "N"], "frac_coords": [[0.333, 0.667, 0.329], [0.667, 0.333, 0.671], [0.000, 0.000, 0.000], [0.000, 0.000, 0.500], [0.333, 0.667, 0.842], [0.667, 0.333, 0.158]], "magmom_total_mub_per_cell": 0.0, "final_energy_ev_per_atom": -8.28, "spacegroup": "P-3m1, No. 164"}

***

[5]
{"formula": "NiN", "functional": "PBE", "state": "optimized geometry", "lattice": [[1.655, -1.946, 0.000], [1.655, 1.946, 0.000], [0.000, 0.000, 2.547]], "species": ["Ni", "N"], "frac_coords": [[0.000, 0.000, 0.000], [0.500, 0.500, 0.500]], "magmom_total_mub_per_cell": 0.0, "spacegroup": "Cmmm, No. 65", "e_above_lowest_polymorph_mev_per_atom": 654}

***

[6]
{"formula": "Ni3N", "functional": "PBE", "state": "optimized geometry", "lattice": [[6.186, 0.000, 0.000], [-3.093, 5.357, 0.000], [0.000, 0.000, 2.572]], "species": ["Ni", "Ni", "Ni", "Ni", "Ni", "Ni", "N", "N"], "frac_coords": [[0.199, 0.398, 0.250], [0.199, 0.801, 0.250], [0.398, 0.199, 0.750], [0.602, 0.801, 0.250], [0.801, 0.199, 0.750], [0.801, 0.602, 0.750], [0.333, 0.667, 0.750], [0.667, 0.333, 0.250]], "magmom_total_mub_per_cell": 0.0, "final_energy_ev_per_atom": -5.86, "spacegroup": "P6_3/mmc, No. 194"}

***

[7]
{"formula": "Ni2N", "functional": "PBE", "state": "optimized geometry", "lattice": [[0.000, 4.029, 4.029], [4.029, 0.000, 4.029], [4.029, 4.029, 0.000]], "species": ["Ni", "Ni", "Ni", "Ni", "N", "N"], "frac_coords": [[0.000, 0.000, 0.000], [0.000, 0.000, 0.500], [0.000, 0.500, 0.000], [0.500, 0.000, 0.000], [0.125, 0.125, 0.125], [0.875, 0.875, 0.875]], "magmom_total_mub_per_cell": 0.0, "final_energy_ev_per_atom": -5.85, "spacegroup": "Fd-3m, No. 227"}

***

[8]
{"formula": "Ni5N2", "functional": "PBE", "state": "optimized geometry", "lattice": [[6.939, -2.793, 0.000], [6.939, 2.793, 0.000], [-0.995, 0.000, 3.607]], "species": ["Ni", "Ni", "Ni", "Ni", "Ni", "Ni", "Ni", "Ni", "Ni", "Ni", "N", "N", "N", "N"], "frac_coords": [[0.058, 0.544, 0.800], [0.112, 0.112, 0.615], [0.242, 0.758, 0.000], [0.395, 0.395, 0.392], [0.456, 0.942, 0.200], [0.544, 0.058, 0.800], [0.605, 0.605, 0.608], [0.758, 0.242, 0.000], [0.888, 0.888, 0.385], [0.942, 0.456, 0.200], [0.108, 0.108, 0.110], [0.397, 0.397, 0.894], [0.603, 0.603, 0.106], [0.892, 0.892, 0.890]], "magmom_total_mub_per_cell": 0.0, "final_energy_ev_per_atom": -6.17, "spacegroup": "C2/m, No. 12"}

***

[9]
{"formula": "NiN2", "functional": "PBE", "state": "optimized geometry", "lattice": [[0.000, 3.984, 3.984], [3.984, 0.000, 3.984], [3.984, 3.984, 0.000]], "species": ["Ni", "Ni", "N", "N", "N", "N"], "frac_coords": [[0.125, 0.125, 0.125], [0.875, 0.875, 0.875], [0.000, 0.000, 0.000], [0.000, 0.000, 0.500], [0.000, 0.500, 0.000], [0.500, 0.000, 0.000]], "magmom_total_mub_per_cell": 4.0, "final_energy_ev_per_atom": -5.69, "spacegroup": "Fd-3m, No. 227"}

***

[10]
{"formula": "Ni5N", "functional": "PBE", "state": "optimized geometry", "lattice": [[4.512, 0.000, 0.000], [-2.256, 3.908, 0.000], [0.000, 0.000, 4.139]], "species": ["Ni", "Ni", "Ni", "Ni", "Ni", "N"], "frac_coords": [[0.000, 0.500, 0.000], [0.333, 0.667, 0.500], [0.500, 0.000, 0.000], [0.500, 0.500, 0.000], [0.667, 0.333, 0.500], [0.000, 0.000, 0.500]], "magmom_total_mub_per_cell": 4.7, "final_energy_ev_per_atom": -4.89, "spacegroup": "P6/mmm, No. 191"}

***

[11]
{"formula": "Ni2N", "functional": "PBE", "state": "optimized geometry", "lattice": [[0.000, 3.228, 3.228], [3.228, 0.000, 3.228], [3.228, 3.228, 0.000]], "species": ["Ni", "Ni", "Ni", "Ni", "N", "N"], "frac_coords": [[0.000, 0.000, 0.000], [0.000, 0.000, 0.500], [0.000, 0.500, 0.000], [0.500, 0.000, 0.000], [0.375, 0.375, 0.375], [0.625, 0.625, 0.625]], "magmom_total_mub_per_cell": 4.5, "final_energy_ev_per_atom": -4.64, "spacegroup": "Fd-3m, No. 227"}

***

[12]
{"formula": "Ni3N2", "functional": "PBE", "state": "optimized geometry", "lattice": [[2.550, 1.472, 4.179], [-2.550, 1.472, 4.179], [0.000, -2.945, 4.179]], "species": ["Ni", "Ni", "Ni", "Ni", "Ni", "Ni", "N", "N", "N", "N"], "frac_coords": [[0.034, 0.750, 0.466], [0.250, 0.534, 0.966], [0.466, 0.034, 0.750], [0.534, 0.966, 0.250], [0.750, 0.466, 0.034], [0.966, 0.250, 0.534], [0.138, 0.138, 0.138], [0.362, 0.362, 0.362], [0.638, 0.638, 0.638], [0.862, 0.862, 0.862]], "magmom_total_mub_per_cell": 0.1, "final_energy_ev_per_atom": -6.21, "spacegroup": "R-3c, No. 167"}

***

[13]
{"formula": "Ni3N", "functional": "PBE", "state": "optimized geometry", "lattice": [[0.000, 2.701, 2.701], [2.701, 0.000, 2.701], [2.701, 2.701, 0.000]], "species": ["Ni", "Ni", "Ni", "N"], "frac_coords": [[0.000, 0.000, 0.000], [0.250, 0.250, 0.250], [0.750, 0.750, 0.750], [0.500, 0.500, 0.500]], "magmom_total_mub_per_cell": 0.5, "final_energy_ev_per_atom": -5.31, "spacegroup": "Fm-3m, No. 225"}

***

[14]
{"formula": "NiN2", "functional": "PBE", "state": "optimized geometry", "lattice": [[4.315, 0.000, 0.000], [0.000, 4.315, 0.000], [0.000, 0.000, 2.916]], "species": ["Ni", "Ni", "N", "N", "N", "N"], "frac_coords": [[0.000, 0.000, 0.000], [0.500, 0.500, 0.500], [0.196, 0.196, 0.500], [0.304, 0.696, 0.000], [0.696, 0.304, 0.000], [0.804, 0.804, 0.500]], "magmom_total_mub_per_cell": 2.1, "final_energy_ev_per_atom": -5.95, "spacegroup": "P4_2/mnm, No. 136"}

***

[15]
{"formula": "NiN", "functional": "PBE", "state": "optimized geometry", "lattice": [[0.000, 2.028, 2.028], [2.028, 0.000, 2.028], [2.028, 2.028, 0.000]], "species": ["Ni", "N"], "frac_coords": [[0.000, 0.000, 0.000], [0.500, 0.500, 0.500]], "magmom_total_mub_per_cell": 0.0, "spacegroup": "Fm-3m, No. 225", "e_above_lowest_polymorph_mev_per_atom": 186}

***

[16]
{"formula": "NiN", "functional": "PBE", "state": "optimized geometry", "lattice": [[5.003, 0.000, 0.000], [0.000, 2.656, 0.000], [0.000, 0.000, 5.421]], "species": ["Ni", "Ni", "Ni", "Ni", "N", "N", "N", "N"], "frac_coords": [[0.000, 0.000, 0.000], [0.250, 0.500, 0.499], [0.500, 0.000, 0.000], [0.750, 0.500, 0.501], [0.250, 0.000, 0.271], [0.250, 0.500, 0.848], [0.750, 0.000, 0.729], [0.750, 0.500, 0.152]], "magmom_total_mub_per_cell": 0.4, "spacegroup": "Pmma, No. 51", "e_above_lowest_polymorph_mev_per_atom": 103}

***

[17]
{"formula": "NiN", "functional": "PBE", "state": "optimized geometry", "lattice": [[2.537, 0.000, 0.000], [0.000, 2.537, 0.000], [0.000, 0.000, 2.537]], "species": ["Ni", "N"], "frac_coords": [[0.000, 0.000, 0.000], [0.500, 0.500, 0.500]], "magmom_total_mub_per_cell": 0.0, "spacegroup": "Pm-3m, No. 221", "e_above_lowest_polymorph_mev_per_atom": 657}

***

[18]
{"formula": "Ni3N", "functional": "PBE", "state": "optimized geometry", "lattice": [[3.415, 0.000, 0.000], [0.000, 3.415, 0.000], [0.000, 0.000, 3.415]], "species": ["Ni", "Ni", "Ni", "N"], "frac_coords": [[0.000, 0.000, 0.500], [0.000, 0.500, 0.000], [0.500, 0.000, 0.000], [0.500, 0.500, 0.500]], "magmom_total_mub_per_cell": 2.8, "final_energy_ev_per_atom": -5.34, "spacegroup": "Pm-3m, No. 221"}

***

[19]
{"formula": "NiN", "functional": "PBE", "state": "optimized geometry", "lattice": [[0.000, 2.153, 2.153], [2.153, 0.000, 2.153], [2.153, 2.153, 0.000]], "species": ["Ni", "N"], "frac_coords": [[0.000, 0.000, 0.000], [0.250, 0.250, 0.250]], "magmom_total_mub_per_cell": 0.0, "spacegroup": "F-43m, No. 216", "e_above_lowest_polymorph_mev_per_atom": 0}

***

[20]
{"formula": "Ni3N", "functional": "PBE", "state": "optimized geometry", "lattice": [[-1.675, 1.675, 3.544], [1.675, -1.675, 3.544], [1.675, 1.675, -3.544]], "species": ["Ni", "Ni", "Ni", "N"], "frac_coords": [[0.000, 0.000, 0.000], [0.250, 0.750, 0.500], [0.750, 0.250, 0.500], [0.500, 0.500, 0.000]], "magmom_total_mub_per_cell": 2.7, "final_energy_ev_per_atom": -5.34, "spacegroup": "I4/mmm, No. 139"}